VASP calculation (PBE) on a relaxed structure of Sc2InOs.

Cell: 7.4379 7.4379 7.4379 Å, 155.24 145.78 42.69°
Fractional coordinates of all 4 atoms:
Sc 0.1756 0.1756 0.0000
Sc 0.8244 0.8244 0.0000
In 0.5000 0.5000 0.0000
Os 0.0000 0.0000 0.0000

Calculated values
* spin magnetization: 0.0 μB/f.u.
* energy of formation: 0.241 eV per atom
* crystal system: orthorhombic
* SG: Immm (71)

---

VASP calculation (PBE) on a relaxed structure of Er2TmRh3.

Cell: 3.3917 3.3917 10.1479 Å, 90.00 90.00 90.00°
Fractional coordinates of all 6 atoms:
Er 0.0000 0.0000 0.1671
Er 0.0000 0.0000 0.8329
Tm 0.0000 0.0000 0.5000
Rh 0.5000 0.5000 0.0000
Rh 0.5000 0.5000 0.3346
Rh 0.5000 0.5000 0.6654

Calculated values
* spin magnetization: 0.0 μB/f.u.
* energy of formation: -0.948 eV per atom
* crystal system: tetragonal
* SG: P4/mmm (123)

---

VASP calculation (PBE) on a relaxed structure of KTc2As.

Cell: 2.9315 2.9315 9.6846 Å, 90.00 90.00 116.10°
Fractional coordinates of all 4 atoms:
K 0.0000 0.0000 0.0000
Tc 0.5000 0.5000 0.3044
Tc 0.5000 0.5000 0.6956
As 0.0000 0.0000 0.5000

Calculated values
* spin magnetization: 0.0 μB/f.u.
* energy of formation: 0.795 eV per atom
* crystal system: orthorhombic
* SG: Cmmm (65)

---

VASP calculation (PBE) on a relaxed structure of Sr2AgHg2.

Cell: 6.1546 6.1546 6.1546 Å, 117.86 117.86 93.75°
Fractional coordinates of all 5 atoms:
Sr 0.2500 0.7500 0.5000
Sr 0.7500 0.2500 0.5000
Ag 0.0000 0.0000 0.0000
Hg 0.3358 0.3358 0.0000
Hg 0.6642 0.6642 0.0000

Calculated values
* spin magnetization: 0.0 μB/f.u.
* energy of formation: -0.235 eV per atom
* relative energy among the computed polymorphs: 199 meV per atom
* crystal system: tetragonal
* SG: I4/mmm (139)

---

VASP calculation (PBE) on a relaxed structure of TbDy2Hg3.

Cell: 8.3423 8.3423 7.4664 Å, 90.00 90.00 143.26°
Fractional coordinates of all 12 atoms:
Tb 0.1664 0.8336 0.0000
Tb 0.8336 0.1664 0.0000
Dy 0.1670 0.8330 0.5000
Dy 0.5000 0.5000 0.0000
Dy 0.5000 0.5000 0.5000
Dy 0.8330 0.1670 0.5000
Hg 0.0000 0.0000 0.2519
Hg 0.0000 0.0000 0.7481
Hg 0.3337 0.6663 0.2515
Hg 0.3337 0.6663 0.7485
Hg 0.6663 0.3337 0.2515
Hg 0.6663 0.3337 0.7485

Calculated values
* spin magnetization: 0.1 μB/f.u.
* energy of formation: -0.481 eV per atom
* crystal system: orthorhombic
* SG: Cmmm (65)

---

VASP calculation (PBE) on a relaxed structure of La8NiRh2C.

Cell: 6.6178 8.2844 6.7291 Å, 90.00 90.30 90.00°
Fractional coordinates of all 12 atoms:
La 0.2247 0.2291 0.3441
La 0.2247 0.7709 0.3441
La 0.2489 0.0000 0.8132
La 0.2665 0.5000 0.8363
La 0.7335 0.5000 0.1637
La 0.7511 0.0000 0.1868
La 0.7753 0.2291 0.6559
La 0.7753 0.7709 0.6559
Ni 0.0000 0.5000 0.5000
Rh 0.5000 0.2464 0.0000
Rh 0.5000 0.7536 0.0000
C 0.0000 0.0000 0.5000

Calculated values
* spin magnetization: 0.0 μB/f.u.
* energy of formation: -0.308 eV per atom
* crystal system: monoclinic
* SG: P2/m (10)

---

VASP calculation (PBE) on a relaxed structure of Pm3MgU3N8.

Cell: 6.9294 6.9294 6.9294 Å, 59.16 59.16 59.16°
Fractional coordinates of all 15 atoms:
Pm 0.0000 0.5000 0.5000
Pm 0.5000 0.0000 0.5000
Pm 0.5000 0.5000 0.0000
Mg 0.5000 0.5000 0.5000
U 0.0000 0.0000 0.5000
U 0.0000 0.5000 0.0000
U 0.5000 0.0000 0.0000
N 0.2265 0.7364 0.7364
N 0.2397 0.2397 0.2397
N 0.2636 0.2636 0.7735
N 0.2636 0.7735 0.2636
N 0.7364 0.2265 0.7364
N 0.7364 0.7364 0.2265
N 0.7603 0.7603 0.7603
N 0.7735 0.2636 0.2636

Calculated values
* spin magnetization: 1.8 μB/f.u.
* raw formation energy: -1.194 eV/atom
* crystal system: trigonal
* SG: R-3m (166)

---

VASP calculation (PBE) on a relaxed structure of SrLi2TlCd4.

Cell: 10.5546 10.5546 10.5546 Å, 26.47 26.47 26.47°
Fractional coordinates of all 8 atoms:
Sr 0.0000 0.0000 0.0000
Li 0.2325 0.2325 0.2325
Li 0.7675 0.7675 0.7675
Tl 0.5000 0.5000 0.5000
Cd 0.1162 0.1162 0.1162
Cd 0.3991 0.3991 0.3991
Cd 0.6009 0.6009 0.6009
Cd 0.8838 0.8838 0.8838

Calculated values
* spin magnetization: 0.0 μB/f.u.
* energy of formation: -0.177 eV per atom
* crystal system: trigonal
* SG: R-3m (166)

---

Q: What is the spin magnetization in the fifth record?
A: 0.1 μB/f.u.